Record 1
YSnAu: relaxed, PBEsol.

Summary:
* final energy: -17.7 eV/f.u.
* DFT formation energy: -0.893 eV per atom
* crystal system: hexagonal

abc: 4.6343 4.6343 7.3137
angles: 90.00 90.00 120.00
Last column: nearest neighbours and their distance in Å.
Fractional coordinates of all 6 atoms:
Au 0.3333 0.6667 0.9279  4 Sn 2.77-2.93, 3 Y 2.97
Au 0.6667 0.3333 0.4279  4 Sn 2.77-2.93, 3 Y 2.97
Sn 0.3333 0.6667 0.5274  4 Au 2.77-2.93
Sn 0.6667 0.3333 0.0274  4 Au 2.77-2.93
Y 0.0000 0.0000 0.2524  3 Au 2.97, 3 Sn 3.14
Y 0.0000 0.0000 0.7524  3 Au 2.97, 3 Sn 3.14

---

Record 2
NaPbW2F: relaxed, PBEsol.

Summary:
* final energy: -31.0 eV/f.u.
* energy relative to the elements, uncorrected: 788 meV per atom
* crystal system: tetragonal

abc: 4.7044 4.2097 4.2097
angles: 90.00 90.00 90.00
Last column: nearest neighbours and their distance in Å.
Fractional coordinates of all 5 atoms:
Pb 0.5000 0.5000 0.5000  4 Na 2.98, 8 W 3.16
W 0.0000 0.0000 0.5000  2 F 2.10
W 0.0000 0.5000 0.0000  2 F 2.10
F 0.0000 0.0000 0.0000  4 W 2.10, 2 Na 2.35
Na 0.5000 0.0000 0.0000  2 F 2.35

---

Record 3
CuReSe2: relaxed, PBEsol.

Summary:
* final energy: -24.7 eV/f.u.
* energy relative to the elements, uncorrected: 175 meV per atom
* crystal system: orthorhombic
* energy above the most stable polymorph in this dataset: 0.0000 eV/atom

abc: 3.0566 3.2765 7.5087
angles: 90.00 101.74 90.00
Last column: nearest neighbours and their distance in Å.
Fractional coordinates of all 4 atoms:
Se 0.8437 0.0000 0.6873  2 Re 2.42
Se 0.1338 0.5000 0.2677  4 Cu 2.49, 1 Re 2.49
Re 0.9646 0.5000 0.9292  3 Se 2.42-2.49, 4 Cu 2.65
Cu 0.5605 0.0000 0.1211  4 Se 2.49, 4 Re 2.65

---

Record 4
BaTeIr2: relaxed, PBEsol.

Summary:
* final energy: -22.9 eV/f.u.
* energy relative to the elements, uncorrected: 593 meV per atom
* crystal system: tetragonal

abc: 4.5769 5.1651 4.5769
angles: 63.70 90.00 116.30
Last column: nearest neighbours and their distance in Å.
Fractional coordinates of all 4 atoms:
Ba 0.0000 0.0000 0.0000  8 Ir 3.05, 4 Te 3.24
Ir 0.2500 0.5000 0.2500  4 Ba 3.05, 4 Te 3.05, 4 Ir 3.24
Ir 0.7500 0.5000 0.7500  4 Ba 3.05, 4 Te 3.05, 4 Ir 3.24
Te 0.5000 0.0000 0.5000  8 Ir 3.05, 4 Ba 3.24

---

Record 5
RbMn3Si: relaxed, PBEsol.

Summary:
* final energy: -22.9 eV/f.u.
* energy relative to the elements, uncorrected: 2628 meV per atom
* crystal system: cubic

abc: 4.6924 4.6924 4.6924
angles: 90.00 90.00 90.00
Last column: nearest neighbours and their distance in Å.
Fractional coordinates of all 5 atoms:
Rb 0.0000 0.0000 0.0000  6 Mn 2.35
Mn 0.0000 0.0000 0.5000  2 Rb 2.35
Mn 0.0000 0.5000 0.0000  2 Rb 2.35
Mn 0.5000 0.0000 0.0000  2 Rb 2.35
Si 0.5000 0.5000 0.5000  12 Mn 3.32

---

Record 6
ZnCd3: relaxed, PBEsol.

Summary:
* final energy: -4.9 eV/f.u.
* DFT formation energy: 0.062 eV per atom
* crystal system: tetragonal

abc: 4.2355 4.2302 5.2428
angles: 113.79 113.82 90.00
Last column: nearest neighbours and their distance in Å.
Fractional coordinates of all 4 atoms:
Cd 0.7498 0.7498 0.4997  8 Cd 2.99-3.02, 4 Zn 3.02
Cd 0.0000 0.5000 0.0000  4 Zn 2.99, 8 Cd 3.02
Cd 0.2502 0.2502 0.5003  8 Cd 2.99-3.02, 4 Zn 3.02
Zn 0.5000 0.0000 0.0000  12 Cd 2.99-3.02